Below is a relaxed structure of Ti4Ga3Rh, with properties calculated at the PBE level.

energy of formation from the pure elements	-0.46	eV per atom
symmetry	P4/mmm
total moment	0.00	μB/cell
crystal system	tetragonal
Fermi-level density of states	6.57	states/eV/cell
E	-6.4663	eV per atom

a = 3.350 Å, b = 3.350 Å, c = 11.165 Å
α = 90.00°, β = 90.00°, γ = 90.00°
Fractional coordinates of all 8 atoms:
Ti  0.000  0.000  0.123
Ti  0.000  0.000  0.376
Ti  0.000  0.000  0.624
Ti  0.000  0.000  0.877
Ga  0.500  0.500  0.247
Ga  0.500  0.500  0.500
Ga  0.500  0.500  0.753
Rh  0.500  0.500  0.000